Computed, not measured: a relaxed structure of YOsS2 at the PBE level of DFT.

Results
Total magnetic moment (μB/atom): 0.000
Density (g/cm³): 6.3
Space-group type: No. 166
Offset from the most stable computed form (eV per formula unit): 1.52
Raw formation energy (meV per atom): -249

extended XYZ file:
```
4
Lattice="2.148 0.000 7.504 -1.074 1.860 7.504 -1.074 -1.860 7.504" Properties=species:S:1:pos:R:3 pbc="T T T"
Os 0.000 0.000 11.257
Y 0.000 0.000 0.000
S 0.000 0.000 2.677
S 0.000 0.000 19.836
```